SiNi3Cl: optimized geometry, PBE.

Energy above the lowest structure with this stoichiometry: 177 meV per atom
Energy relative to the elements, uncorrected: 0.708 eV per atom

abc: 4.192 4.192 4.192
angles: 90.00 90.00 90.00
Space group Pm-3m (No. 221)
One atom of each set of equivalent atoms:
Si1 0.000 0.000 0.000 (multiplicity 1)
Ni1 0.000 0.500 0.500 (multiplicity 3)
Cl1 0.500 0.500 0.500 (multiplicity 1)